Record 1
This record from Alexandria via LeMat-Bulk describes a relaxed structure of Pr3NdSm2Ho6. The functional is PBE.

- DFT total energy (eV/cell) = -111.70
- D(E_F) (states/eV/cell) = 26.39
- energy relative to the elements (eV per atom) = 0.014

abc: 6.2576 10.8369 11.8226
angles: 90.00 100.13 90.00
Space group C2/m (No. 12)
Asymmetric unit:
Pr (0.0000, 0.0000, 0.0000) (multiplicity 2)
Pr (0.0000, 0.3333, 0.0000) (multiplicity 4)
Nd (0.0000, 0.5000, 0.5000) (multiplicity 2)
Sm (0.0000, 0.1666, 0.5000) (multiplicity 4)
Ho (0.2493, 0.0000, 0.7484) (multiplicity 4)
Ho (0.2504, 0.1668, 0.2516) (multiplicity 8)

=====

Record 2
This record from Alexandria via LeMat-Bulk describes a relaxed structure of NdZn12Au6. The functional is PBE.

- DFT total energy (eV/cell) = -131.93
- D(E_F) (states/eV/cell) = 14.44
- energy relative to the elements (eV per atom) = -0.224

abc: 11.5672 11.5672 8.8842
angles: 90.00 90.00 120.00
Space group R-3m (No. 166, hexagonal axes)
Asymmetric unit:
Nd (0.0000, 0.0000, 0.0000) (multiplicity 3)
Zn (0.0000, 0.3916, 0.5000) (multiplicity 18)
Zn (0.0827, 0.1654, 0.3043) (multiplicity 18)
Au (0.0470, 0.5235, 0.2398) (multiplicity 18)

=====

Record 3
This record from Alexandria via LeMat-Bulk describes a relaxed structure of RbSi. The functional is PBE.

- DFT total energy (eV/cell) = -33.58
- formation energy without anion corrections (eV/atom) = 0.397
- D(E_F) (states/eV/cell) = 6.13
- energy relative to the lowest polymorph listed for this composition (kJ/mol of atoms) = 43.0

abc: 3.9194 22.0447 5.7419
angles: 90.00 90.00 90.00
Space group Pmmn (No. 59, origin choice 2)
Asymmetric unit:
Rb (0.2500, 0.0906, 0.0009) (multiplicity 4)
Rb (0.2500, 0.7500, 0.4960) (multiplicity 2)
Si (0.2500, 0.2500, 0.0042) (multiplicity 2)
Si (0.2500, 0.5276, 0.4995) (multiplicity 4)

=====

Record 4
This record from Alexandria via LeMat-Bulk describes a relaxed structure of KAs. The functional is PBE.

- DFT total energy (eV/cell) = -37.57
- D(E_F) (states/eV/cell) = 3.50
- energy relative to the elements (eV per atom) = -0.257
- energy relative to the lowest polymorph listed for this composition (kJ/mol of atoms) = 19.9

abc: 4.6217 4.6217 27.1678
angles: 90.00 90.00 120.00
Space group R-3m (No. 166, hexagonal axes)
Asymmetric unit:
K (0.0000, 0.0000, 0.0827) (multiplicity 6)
As (0.0000, 0.0000, 0.3274) (multiplicity 6)

=====

Record 5
This record from Alexandria via LeMat-Bulk describes a relaxed structure of Ta2CuAg. The functional is PBE.

- DFT total energy (eV/cell) = -29.39
- D(E_F) (states/eV/cell) = 2.77
- energy relative to the elements (eV per atom) = 0.316
- energy relative to the lowest polymorph listed for this composition (kJ/mol of atoms) = 18.9

abc: 3.2249 4.3756 4.7175
angles: 90.00 90.00 90.00
Space group Pmmm (No. 47)
Asymmetric unit:
Ta (0.0000, 0.0000, 0.0000) (multiplicity 1)
Ta (0.5000, 0.5000, 0.0000) (multiplicity 1)
Cu (0.0000, 0.5000, 0.5000) (multiplicity 1)
Ag (0.5000, 0.0000, 0.5000) (multiplicity 1)

=====

Record 6
This record from Alexandria via LeMat-Bulk describes a relaxed structure of Er3ZrCd. The functional is PBE.

- DFT total energy (eV/cell) = -92.74
- D(E_F) (states/eV/cell) = 22.26
- energy relative to the elements (eV per atom) = -0.006

abc: 21.7442 3.3767 7.8373
angles: 90.00 105.69 90.00
Space group C2/m (No. 12)
Asymmetric unit:
Er (0.0162, 0.0000, 0.2281) (multiplicity 4)
Er (0.1242, 0.5000, 0.0289) (multiplicity 4)
Er (0.1782, 0.0000, 0.4494) (multiplicity 4)
Zr (0.2419, 0.5000, 0.8340) (multiplicity 4)
Cd (0.0802, 0.5000, 0.6020) (multiplicity 4)

=====

Record 7
This record from Alexandria via LeMat-Bulk describes a relaxed structure of Tl5Te. The functional is PBE.

- DFT total energy (eV/cell) = -31.25
- formation energy without anion corrections (eV/atom) = -0.109
- D(E_F) (states/eV/cell) = 4.49
- energy relative to the lowest polymorph listed for this composition (kJ/mol of atoms) = 0.0

abc: 12.2397 4.5400 7.2705
angles: 90.00 107.90 90.00
Space group C2/m (No. 12)
Asymmetric unit:
Tl (0.0000, 0.0000, 0.0000) (multiplicity 2)
Tl (0.1606, 0.5000, 0.8225) (multiplicity 4)
Tl (0.1638, 0.5000, 0.3378) (multiplicity 4)
Te (0.0000, 0.0000, 0.5000) (multiplicity 2)

=====

Record 8
This record from Alexandria via LeMat-Bulk describes a relaxed structure of Pm3In3Ag2. The functional is PBE.

- DFT total energy (eV/cell) = -62.67
- D(E_F) (states/eV/cell) = 11.55
- energy relative to the elements (eV per atom) = -0.396
- energy relative to the lowest polymorph listed for this composition (kJ/mol of atoms) = 0.0

abc: 18.2916 4.6677 4.9733
angles: 90.00 105.70 90.00
Space group C2/m (No. 12)
Asymmetric unit:
Pm (0.0000, 0.0000, 0.0000) (multiplicity 2)
Pm (0.1412, 0.0000, 0.6404) (multiplicity 4)
In (0.0000, 0.5000, 0.5000) (multiplicity 2)
In (0.1424, 0.5000, 0.1425) (multiplicity 4)
Ag (0.2442, 0.0000, 0.2425) (multiplicity 4)

=====

Record 9
This record from Alexandria via LeMat-Bulk describes a relaxed structure of Mg2GaPt. The functional is PBE.

- DFT total energy (eV/cell) = -14.33
- D(E_F) (states/eV/cell) = 1.90
- energy relative to the elements (eV per atom) = -0.520

abc: 4.2224 4.2224 3.7906
angles: 90.00 90.00 90.00
Space group P4/mmm (No. 123)
Asymmetric unit:
Mg (0.0000, 0.5000, 0.0000) (multiplicity 2)
Ga (0.0000, 0.0000, 0.5000) (multiplicity 1)
Pt (0.5000, 0.5000, 0.5000) (multiplicity 1)

=====

Record 10
This record from Alexandria via LeMat-Bulk describes a relaxed structure of CsPrTlSe3. The functional is PBE.

- DFT total energy (eV/cell) = -50.68
- formation energy without anion corrections (eV/atom) = -1.148
- D(E_F) (states/eV/cell) = 7.04

abc: 9.4219 4.6734 10.9662
angles: 90.00 108.12 90.00
Space group P2_1/m (No. 11)
Asymmetric unit:
Cs (0.2278, 0.2500, 0.2468) (multiplicity 2)
Pr (0.3280, 0.7500, 0.8723) (multiplicity 2)
Tl (0.0919, 0.2500, 0.6102) (multiplicity 2)
Se (0.1135, 0.2500, 0.8712) (multiplicity 2)
Se (0.2423, 0.7500, 0.5668) (multiplicity 2)
Se (0.4742, 0.7500, 0.1472) (multiplicity 2)

=====

Record 11
This record from Alexandria via LeMat-Bulk describes a relaxed structure of SrCd2HgB. The functional is PBE.

- DFT total energy (eV/cell) = -3.16
- D(E_F) (states/eV/cell) = 6.49
- energy relative to the elements (eV per atom) = 1.467

abc: 6.5143 6.5143 6.3219
angles: 90.00 90.00 90.00
Space group P4/mmm (No. 123)
Asymmetric unit:
Sr (0.0000, 0.0000, 0.0000) (multiplicity 1)
Cd (0.0000, 0.5000, 0.0000) (multiplicity 2)
Hg (0.0000, 0.0000, 0.5000) (multiplicity 1)
B (0.5000, 0.5000, 0.5000) (multiplicity 1)

=====

Record 12
This record from Alexandria via LeMat-Bulk describes a relaxed structure of Te2IrOsI. The functional is PBE.

- DFT total energy (eV/cell) = -20.23
- formation energy without anion corrections (eV/atom) = 1.538
- D(E_F) (states/eV/cell) = 7.43
- energy relative to the lowest polymorph listed for this composition (kJ/mol of atoms) = 0.0

abc: 5.0772 5.0772 5.4262
angles: 90.00 90.00 90.00
Space group P4/mmm (No. 123)
Asymmetric unit:
Te (0.0000, 0.5000, 0.0000) (multiplicity 2)
Ir (0.0000, 0.0000, 0.5000) (multiplicity 1)
Os (0.5000, 0.5000, 0.0000) (multiplicity 1)
I (0.5000, 0.5000, 0.5000) (multiplicity 1)

=====

Record 13
This record from Alexandria via LeMat-Bulk describes a relaxed structure of Ac4AgPtBr2. The functional is PBE.

- DFT total energy (eV/cell) = -36.74
- formation energy without anion corrections (eV/atom) = -1.009
- D(E_F) (states/eV/cell) = 6.67

abc: 7.8556 4.5492 8.4871
angles: 90.00 108.45 90.00
Space group P2/m (No. 10)
Asymmetric unit:
Ac (0.2262, 0.0000, 0.2043) (multiplicity 2)
Ac (0.2449, 0.5000, 0.7911) (multiplicity 2)
Ag (0.5000, 0.0000, 0.0000) (multiplicity 1)
Pt (0.0000, 0.5000, 0.0000) (multiplicity 1)
Br (0.0000, 0.0000, 0.5000) (multiplicity 1)
Br (0.5000, 0.5000, 0.5000) (multiplicity 1)

=====

Record 14
This record from Alexandria via LeMat-Bulk describes a relaxed structure of SrSi2IrO8. The functional is PBE.

- DFT total energy (eV/cell) = -84.17
- formation energy without anion corrections (eV/atom) = -1.926
- D(E_F) (states/eV/cell) = 8.40

abc: 5.2869 5.2869 7.0849
angles: 90.00 90.00 120.00
Space group P-3m1 (No. 164)
Asymmetric unit:
Sr (0.0000, 0.0000, 0.0000) (multiplicity 1)
Si (0.3333, 0.6667, 0.2542) (multiplicity 2)
Ir (0.0000, 0.0000, 0.5000) (multiplicity 1)
O (0.1651, 0.3303, 0.3324) (multiplicity 6)
O (0.3333, 0.6667, 0.0293) (multiplicity 2)

=====

Record 15
This record from Alexandria via LeMat-Bulk describes a relaxed structure of TiZn2O. The functional is PBE.

- DFT total energy (eV/cell) = -70.96
- formation energy without anion corrections (eV/atom) = -0.585
- D(E_F) (states/eV/cell) = 8.93

abc: 7.5178 7.5178 4.0837
angles: 90.00 90.00 90.00
Space group I-42d (No. 122)
Asymmetric unit:
Ti (0.0000, 0.0000, 0.0000) (multiplicity 4)
Zn (0.1703, 0.2500, 0.6250) (multiplicity 8)
O (0.0000, 0.0000, 0.5000) (multiplicity 4)

=====

Record 16
This record from Alexandria via LeMat-Bulk describes a relaxed structure of Zr2Zn2O. The functional is PBE.

- DFT total energy (eV/cell) = -59.19
- formation energy without anion corrections (eV/atom) = -0.999
- D(E_F) (states/eV/cell) = 3.89

abc: 6.0439 6.0439 4.8310
angles: 90.00 90.00 90.00
Space group P4/mbm (No. 127)
Asymmetric unit:
Zr (0.1759, 0.3241, 0.0000) (multiplicity 4)
Zn (0.1428, 0.6428, 0.5000) (multiplicity 4)
O (0.0000, 0.0000, 0.0000) (multiplicity 2)

=====

Record 17
This record from Alexandria via LeMat-Bulk describes a relaxed structure of K2TeRu. The functional is PBE.

- DFT total energy (eV/cell) = -51.85
- formation energy without anion corrections (eV/atom) = 0.413
- D(E_F) (states/eV/cell) = 10.22

abc: 7.5086 7.5086 7.5086
angles: 90.00 90.00 90.00
Space group F-43m (No. 216)
Asymmetric unit:
K (0.0000, 0.0000, 0.0000) (multiplicity 4)
K (0.2500, 0.2500, 0.2500) (multiplicity 4)
Te (0.0000, 0.0000, 0.5000) (multiplicity 4)
Ru (0.2500, 0.2500, 0.7500) (multiplicity 4)

=====

Record 18
This record from Alexandria via LeMat-Bulk describes a relaxed structure of Ca2ReAgF. The functional is PBE.

- DFT total energy (eV/cell) = -18.88
- formation energy without anion corrections (eV/atom) = 0.459
- D(E_F) (states/eV/cell) = 3.03

abc: 5.7176 5.7176 4.9538
angles: 90.00 90.00 90.00
Space group P4/mmm (No. 123)
Asymmetric unit:
Ca (0.0000, 0.5000, 0.0000) (multiplicity 2)
Re (0.0000, 0.0000, 0.5000) (multiplicity 1)
Ag (0.0000, 0.0000, 0.0000) (multiplicity 1)
F (0.5000, 0.5000, 0.5000) (multiplicity 1)